Below is an optimized crystal structure of Zr2TeRu, with properties calculated at the PBE level.

Output
Raw total energy   -7.7330 eV/atom
Space-group type   P4mm
ΔE_f (raw)   -0.355 eV per atom

a b c (Å): 3.7956 3.7956 6.1977
angles (deg): 90.00 90.00 90.00
Last column: nearest neighbours and their distance in Å.
Atoms (fractional coordinates):
Ru  0.0000  0.0000  0.4008  5 Zr 2.53-2.74
Zr  0.5000  0.5000  0.3148  4 Ru 2.74, 1 Te 2.96
Zr  0.0000  0.0000  0.9922  1 Ru 2.53
Te  0.5000  0.5000  0.7922  6 Zr 2.96-3.24